DFT (GGA-PBE) results for an optimized crystal structure of AcYZn.

Structure (extended XYZ):
```
3
Lattice="-1.893 1.893 6.398 1.893 -1.893 6.398 1.893 1.893 -6.398" Properties=species:S:1:pos:R:3 pbc="T T T"
Ac 0.000 0.000 0.000
Y 0.000 0.000 3.642
Zn 0.000 0.000 8.559
```

Output
Excess energy over the best structure of this formula in the dataset (eV per atom): 0.0000
Total magnetization (μB per cell): 0.002
Raw total energy (eV/cell): -12.3
DOS at the Fermi energy (states/eV/cell): 3.9
Space-group type: I4mm (107)
Energy relative to the elements (eV per atom): -0.163

=====

DFT (GGA-PBE) results for an optimized crystal structure of AcYZn4.

Structure (extended XYZ):
```
6
Lattice="-2.134 2.134 7.781 2.134 -2.134 7.781 2.134 2.134 -7.781" Properties=species:S:1:pos:R:3 pbc="T T T"
Ac 0.000 0.000 0.000
Y 2.134 0.000 3.891
Zn 0.000 0.000 6.395
Zn 0.000 0.000 9.167
Zn 0.000 2.134 2.673
Zn 0.000 2.134 5.108
```

Output
Excess energy over the best structure of this formula in the dataset (eV per atom): 0.0000
Total magnetization (μB per cell): 0.000
Raw total energy (eV/cell): -17.4
DOS at the Fermi energy (states/eV/cell): 6.4
Space-group type: I-4m2 (119)
Energy relative to the elements (eV per atom): -0.282

=====

DFT (GGA-PBE) results for an optimized crystal structure of AcYZn2.

Structure (extended XYZ):
```
4
Lattice="1.919 1.108 9.044 -1.919 1.108 9.044 0.000 -2.216 9.044" Properties=species:S:1:pos:R:3 pbc="T T T"
Ac 0.000 0.000 0.000
Y 0.000 0.000 13.566
Zn 0.000 0.000 6.577
Zn 0.000 0.000 20.554
```

Output
Total magnetization (μB per cell): 0.000
Raw total energy (eV/cell): -13.4
DOS at the Fermi energy (states/eV/cell): 4.9
Space-group type: R-3m (166)
Energy relative to the elements (eV per atom): -0.071

=====

> The lowest raw total energy belongs to which entry?

AcYZn4

=====

> What is the energy relative to the elements in the second record?

-0.282 eV per atom

=====

> What is the energy relative to the elements in the third record?

-0.071 eV per atom